No. 1
Density functional theory data (PBE) for Nd2HoPd after structural relaxation.

Crystal system: trigonal
E_form (eV/atom): -0.229
Theoretical density (kg/m3): 7608
Offset from the most stable computed form (eV/f.u.): 0.69
DOS at the Fermi energy (states/eV per atom): 1.211

Cell lengths 3.8252, 3.8252, 28.9285 Å; angles 90.00, 90.00, 120.00 degrees
Space group R3m (No. 160, hexagonal axes)
Inequivalent atoms, fractional coordinates:
Nd 0.0000 0.0000 0.0000 x3
Nd 0.0000 0.0000 0.1994 x3
Ho 0.0000 0.0000 0.4327 x3
Pd 0.0000 0.0000 0.5999 x3

***

No. 2
Density functional theory data (PBE) for Nd2HoPd4 after structural relaxation.

Crystal system: orthorhombic
E_form (eV/atom): -0.302
Theoretical density (kg/m3): 7680
DOS at the Fermi energy (states/eV per atom): 0.449

Cell lengths 5.915, 8.434, 15.242 Å; angles 90.00, 90.00, 90.00 degrees
Space group Fmmm (No. 69)
Inequivalent atoms, fractional coordinates:
Nd 0.000 0.000 0.135 x8
Ho 0.000 0.000 0.500 x4
Pd 0.000 0.000 0.322 x8
Pd 0.250 0.250 0.000 x8